Computed, not measured: crystalline Rb2MnTeF6 at its relaxed geometry at the PBE+U level of DFT.

D(E_F): 0.0 states/eV/cell
energy: -0.33866 Ry per atom

a = 6.775 Å, b = 6.775 Å, c = 8.665 Å
α = 90.00°, β = 90.00°, γ = 90.00°
Space group I4/mmm (No. 139)
Unique sites:
Rb 0.000 0.500 0.250
Mn 0.000 0.000 0.000
Te 0.000 0.000 0.500
F 0.000 0.000 0.256
F 0.219 0.219 0.000